Entry 1:
The following is a DFT calculation (GGA-PBE) of crystalline Zn2BiPtPb at its relaxed geometry.

a b c (Å): 5.1134 5.2548 5.1134
angles (deg): 90.00 90.00 90.00
Element x y z (fractional)
Pb: 0.0000 0.0000 0.0000
Zn: 0.0000 0.0000 0.5000
Zn: 0.5000 0.0000 0.0000
Bi: 0.5000 0.5000 0.5000
Pt: 0.0000 0.5000 0.0000

Summary:
Space group: P4/mmm, No. 123
E_form, meV per atom: 706

***

Entry 2:
The following is a DFT calculation (GGA-PBE) of crystalline Y2VBr at its relaxed geometry.

a b c (Å): 7.9832 7.9832 6.5919
angles (deg): 52.73 52.73 90.00
Last column: magnetic moment on the atom in μB.
Element x y z (fractional)
Y: 0.6449 0.1250 0.2500  -0.08
Y: 0.1051 0.6250 0.2500  -0.08
Y: 0.3750 0.3551 0.7500  -0.08
Y: 0.8750 0.8949 0.7500  -0.08
Br: 0.0000 0.0000 0.0000  0.01
Br: 0.7500 0.2500 0.5000  0.01
V: 0.5000 0.5000 0.0000  2.69
V: 0.2500 0.7500 0.5000  2.69

Summary:
Relative energy among the computed polymorphs, meV per atom: 41
Space group: I-42d, No. 122

***

Entry 3:
The following is a DFT calculation (GGA-PBE) of crystalline RbLa2MnIr at its relaxed geometry.

a b c (Å): 5.5216 4.5188 5.5216
angles (deg): 90.00 90.00 90.00
Last column: magnetic moment on the atom in μB.
Element x y z (fractional)
Mn: 0.0000 0.5000 0.0000  3.05
Ir: 0.5000 0.5000 0.5000  -0.02
Rb: 0.0000 0.0000 0.0000  -0.03
La: 0.0000 0.0000 0.5000  -0.04
La: 0.5000 0.0000 0.0000  -0.03

Summary:
Space group: P4/mmm, No. 123
E_form, meV per atom: 1693

***

Entry 4:
The following is a DFT calculation (GGA-PBE) of crystalline Ca8P at its relaxed geometry.

a b c (Å): 9.1816 9.1816 9.1816
angles (deg): 92.88 92.88 154.09
Element x y z (fractional)
Ca: 0.6362 0.3638 0.0000
Ca: 0.3638 0.6362 0.0000
Ca: 0.0000 0.6630 0.6630
Ca: 0.3638 0.3638 0.7275
Ca: 0.6630 0.0000 0.6630
Ca: 0.6362 0.6362 0.2725
Ca: 0.0000 0.3370 0.3370
Ca: 0.3370 0.0000 0.3370
P: 0.0000 0.0000 0.0000

Summary:
Space group: I4/mmm, No. 139
E_form, meV per atom: -147

***

Entry 5:
The following is a DFT calculation (GGA-PBE) of crystalline KTc2Cl at its relaxed geometry.

a b c (Å): 3.7001 3.7001 7.2909
angles (deg): 90.00 90.00 90.00
Last column: magnetic moment on the atom in μB.
Element x y z (fractional)
K: 0.5000 0.5000 0.7500  0.00
Tc: 0.0000 0.0000 0.1060  0.48
Tc: 0.0000 0.0000 0.3940  0.48
Cl: 0.5000 0.5000 0.2500  0.02

Summary:
Relative energy among the computed polymorphs, meV per atom: 1325
Space group: P4/mmm, No. 123

***

Entry 6:
The following is a DFT calculation (GGA-PBE) of crystalline ZrAl2Cu at its relaxed geometry.

a b c (Å): 3.1413 3.1320 6.7463
angles (deg): 90.00 90.00 90.00
Element x y z (fractional)
Cu: 0.0000 0.0000 0.4524
Zr: 0.5000 0.5000 0.7432
Al: 0.0000 0.0000 0.0279
Al: 0.5000 0.5000 0.2764

Summary:
Space group: P4mm, No. 99
E_form, meV per atom: -249